Entry 1:
NdYHoCd after structural relaxation, computed with PBE.

Output
DFT total energy = -4.34 eV/atom
Fermi-level density of states = 1.070 states/eV/atom
Offset from the most stable computed form = 0.0 kJ/mol of atoms
DFT formation energy = -0.16 eV per atom
Total magnetic moment = 0.000 μB per cell
Space group = P4mm (99)

Unit cell a=3.6344 b=3.6344 c=9.0375 alpha=90.00 beta=90.00 gamma=90.00
Fractional positions:
Cd 0.0000 0.0000 0.5689
Y 0.5000 0.5000 0.7912
Nd 0.0000 0.0000 0.0738
Ho 0.5000 0.5000 0.3508

***

Entry 2:
Si2BiAs after structural relaxation, computed with PBE.

Output
DFT total energy = -4.22 eV/atom
Fermi-level density of states = 0.476 states/eV/atom
Offset from the most stable computed form = 19.4 kJ/mol of atoms
Raw formation energy = 621 meV/atom
Total magnetic moment = 0.000 μB per cell
Space group = Fm-3m (225)

Unit cell a=4.8934 b=4.8934 c=4.8934 alpha=60.00 beta=60.00 gamma=60.00
Fractional positions:
Si 0.2500 0.2500 0.2500
Bi 0.5000 0.5000 0.5000
Si 0.7500 0.7500 0.7500
As 0.0000 0.0000 0.0000

***

Entry 3:
NdTm3Ag4 after structural relaxation, computed with PBE.

Output
DFT total energy = -4.01 eV/atom
Fermi-level density of states = 0.617 states/eV/atom
DFT formation energy = -0.31 eV per atom
Total magnetic moment = 0.000 μB per cell
Space group = Pmma (51)

Unit cell a=5.1309 b=7.2825 c=10.2621 alpha=90.00 beta=90.00 gamma=90.00
Fractional positions:
Nd 0.0000 0.5000 0.5000
Ag 0.0011 0.2369 0.7500
Ag 0.0011 0.7631 0.7500
Nd 0.0000 0.5000 0.0000
Tm 0.5005 0.5000 0.7500
Ag 0.9989 0.2369 0.2500
Tm 0.5008 0.0000 0.7500
Ag 0.5000 0.2368 0.5000
Tm 0.0000 0.0000 0.0000
Ag 0.9989 0.7631 0.2500
Tm 0.0000 0.0000 0.5000
Tm 0.4992 0.0000 0.2500
Ag 0.5000 0.7632 0.5000
Ag 0.5000 0.2368 0.0000
Ag 0.5000 0.7632 0.0000
Tm 0.4995 0.5000 0.2500

***

Entry 4:
Th2ZnSi after structural relaxation, computed with PBE.

Output
DFT total energy = -5.24 eV/atom
Fermi-level density of states = 1.237 states/eV/atom
Offset from the most stable computed form = 59.8 kJ/mol of atoms
Raw formation energy = 148 meV/atom
Total magnetic moment = 0.000 μB per cell
Space group = R-3m (166)

Unit cell a=3.8944 b=3.8944 c=10.1767 alpha=78.97 beta=78.97 gamma=60.00
Fractional positions:
Si 0.5000 0.5000 0.5000
Th 0.8926 0.8926 0.3221
Th 0.1074 0.1074 0.6779
Zn 0.0000 0.0000 0.0000

***

Entry 5:
RbHPb2 after structural relaxation, computed with PBE.

Output
DFT total energy = -2.22 eV/atom
Fermi-level density of states = 0.403 states/eV/atom
Offset from the most stable computed form = 54.2 kJ/mol of atoms
Total magnetic moment = 0.000 μB per cell
Space group = Fm-3m (225)

Unit cell a=5.5250 b=5.5250 c=5.5250 alpha=60.00 beta=60.00 gamma=60.00
Fractional positions:
Pb 0.2500 0.2500 0.2500
Rb 0.5000 0.5000 0.5000
Pb 0.7500 0.7500 0.7500
H 0.0000 0.0000 0.0000

***

Entry 6:
ScInHg4 after structural relaxation, computed with PBE.

Output
DFT total energy = -1.63 eV/atom
Fermi-level density of states = 0.366 states/eV/atom
Offset from the most stable computed form = 18.2 kJ/mol of atoms
DFT formation energy = 0.08 eV per atom
Total magnetic moment = 0.000 μB per cell
Space group = F-43m (216)

Unit cell a=5.9475 b=5.9475 c=5.9475 alpha=60.00 beta=60.00 gamma=60.00
Fractional positions:
Hg 0.3746 0.3746 0.3746
In 0.7500 0.7500 0.7500
Hg 0.3746 0.3746 0.8761
Sc 0.0000 0.0000 0.0000
Hg 0.3746 0.8761 0.3746
Hg 0.8761 0.3746 0.3746

***

Entry 7:
SrScIn after structural relaxation, computed with PBE.

Output
DFT total energy = -3.72 eV/atom
Fermi-level density of states = 0.821 states/eV/atom
Offset from the most stable computed form = 17.5 kJ/mol of atoms
DFT formation energy = -0.13 eV per atom
Total magnetic moment = 0.000 μB per cell
Space group = P-1 (2)

Unit cell a=6.2823 b=6.8214 c=5.3748 alpha=112.29 beta=110.82 gamma=62.81
Fractional positions:
Sr 0.8461 0.2020 0.5398
Sc 0.9157 0.6140 0.3083
In 0.3960 0.7270 0.5359
Sc 0.3085 0.9583 0.1168
In 0.8282 0.8453 0.8893
Sr 0.3782 0.3703 0.8854

***

Entry 8:
BaMoAs2Br after structural relaxation, computed with PBE.

Output
DFT total energy = -5.27 eV/atom
Fermi-level density of states = 0.642 states/eV/atom
Offset from the most stable computed form = 0.0 kJ/mol of atoms
Raw formation energy = -527 meV/atom
Total magnetic moment = 0.577 μB per cell
Space group = P4/mmm (123)

Unit cell a=4.9050 b=4.9050 c=5.6239 alpha=90.00 beta=90.00 gamma=90.00
Site moments in Bohr magnetons follow the coordinates.
Fractional positions:
As 0.0000 0.5000 0.0000  -0.01
As 0.5000 0.0000 0.0000  -0.01
Br 0.0000 0.0000 0.5000  0.00
Mo 0.0000 0.0000 0.0000  0.48
Ba 0.5000 0.5000 0.5000  0.01

***

Entry 9:
Tb6Sm8Er after structural relaxation, computed with PBE.

Output
DFT total energy = -4.55 eV/atom
Fermi-level density of states = 1.499 states/eV/atom
Offset from the most stable computed form = 0.0 kJ/mol of atoms
DFT formation energy = 0.12 eV per atom
Total magnetic moment = 0.000 μB per cell
Space group = R-3 (148)

Unit cell a=9.1198 b=9.1198 c=8.7008 alpha=58.39 beta=58.39 gamma=60.00
Fractional positions:
Sm 0.7194 0.1118 0.4208
Sm 0.5775 0.5775 0.2676
Tb 0.1001 0.2404 0.1197
Sm 0.8882 0.2520 0.5792
Sm 0.2806 0.8882 0.5792
Sm 0.4225 0.4225 0.7324
Er 0.0000 0.0000 0.0000
Tb 0.4602 0.8999 0.8803
Tb 0.8999 0.7596 0.8803
Tb 0.2404 0.5398 0.1197
Tb 0.5398 0.1001 0.1197
Sm 0.7480 0.7194 0.4208
Sm 0.2520 0.2806 0.5792
Sm 0.1118 0.7480 0.4208
Tb 0.7596 0.4602 0.8803

***

Entry 10:
MgBRhSe2 after structural relaxation, computed with PBE.

Output
DFT total energy = -3.10 eV/atom
Fermi-level density of states = 0.829 states/eV/atom
Raw formation energy = 1417 meV/atom
Total magnetic moment = 1.362 μB per cell
Space group = P4/mmm (123)

Unit cell a=4.9388 b=4.7705 c=4.9388 alpha=90.00 beta=90.00 gamma=90.00
Site moments in Bohr magnetons follow the coordinates.
Fractional positions:
Rh 0.0000 0.5000 0.0000  0.96
Se 0.0000 0.0000 0.5000  0.14
Mg 0.0000 0.0000 0.0000  -0.01
Se 0.5000 0.0000 0.0000  0.16
B 0.5000 0.5000 0.5000  -0.02

***

Entry 11:
Hf2Al2Sn after structural relaxation, computed with PBE.

Output
DFT total energy = -6.31 eV/atom
Fermi-level density of states = 0.738 states/eV/atom
Offset from the most stable computed form = 16.5 kJ/mol of atoms
DFT formation energy = -0.03 eV per atom
Total magnetic moment = 0.000 μB per cell
Space group = P4/mbm (127)

Unit cell a=7.9731 b=7.9731 c=3.3192 alpha=90.00 beta=90.00 gamma=90.00
Fractional positions:
Hf 0.6317 0.1317 0.0000
Al 0.3308 0.1692 0.5000
Al 0.6692 0.8308 0.5000
Al 0.8308 0.3308 0.5000
Hf 0.1317 0.3683 0.0000
Hf 0.3683 0.8683 0.0000
Hf 0.8683 0.6317 0.0000
Sn 0.0000 0.0000 0.0000
Sn 0.5000 0.5000 0.0000
Al 0.1692 0.6692 0.5000

***

Entry 12:
HgBiN2F after structural relaxation, computed with PBE.

Output
DFT total energy = -3.48 eV/atom
Fermi-level density of states = 0.361 states/eV/atom
Offset from the most stable computed form = 25.7 kJ/mol of atoms
Raw formation energy = 1061 meV/atom
Total magnetic moment = 0.003 μB per cell
Space group = P4/mmm (123)

Unit cell a=4.2308 b=4.2308 c=4.4538 alpha=90.00 beta=90.00 gamma=90.00
Fractional positions:
N 0.5000 0.0000 0.0000
Bi 0.5000 0.5000 0.5000
Hg 0.0000 0.0000 0.0000
N 0.0000 0.5000 0.0000
F 0.0000 0.0000 0.5000

***

Entry 13:
RbSn3Sb after structural relaxation, computed with PBE.

Output
DFT total energy = -3.09 eV/atom
Fermi-level density of states = 0.844 states/eV/atom
Offset from the most stable computed form = 38.0 kJ/mol of atoms
Raw formation energy = 329 meV/atom
Total magnetic moment = 0.000 μB per cell
Space group = Pm-3m (221)

Unit cell a=5.9221 b=5.9221 c=5.9221 alpha=90.00 beta=90.00 gamma=90.00
Fractional positions:
Sn 0.0000 0.0000 0.5000
Rb 0.5000 0.5000 0.5000
Sb 0.0000 0.0000 0.0000
Sn 0.5000 0.0000 0.0000
Sn 0.0000 0.5000 0.0000

***

Entry 14:
Er3TmPb2N after structural relaxation, computed with PBE.

Output
DFT total energy = -5.70 eV/atom
Fermi-level density of states = 0.629 states/eV/atom
Raw formation energy = -854 meV/atom
Total magnetic moment = 0.000 μB per cell
Space group = Immm (71)

Unit cell a=4.6803 b=4.7035 c=8.6187 alpha=105.83 beta=105.75 gamma=90.00
Fractional positions:
Er 0.8445 0.8445 0.6889
Er 0.0000 0.5000 0.0000
N 0.0000 0.0000 0.0000
Pb 0.6447 0.6447 0.2894
Tm 0.5000 0.0000 0.0000
Er 0.1555 0.1555 0.3110
Pb 0.3553 0.3553 0.7106

***

Entry 15:
Er7Tm12Sc after structural relaxation, computed with PBE.

Output
DFT total energy = -4.35 eV/atom
Fermi-level density of states = 1.765 states/eV/atom
Offset from the most stable computed form = 0.0 kJ/mol of atoms
DFT formation energy = 0.24 eV per atom
Total magnetic moment = 0.000 μB per cell
Space group = R-3 (148)

Unit cell a=8.5555 b=8.5555 c=8.5555 alpha=86.98 beta=86.98 gamma=86.98
Fractional positions:
Tm 0.4264 0.1040 0.3492
Er 0.9975 0.6453 0.1072
Er 0.6453 0.1072 0.9975
Er 0.3547 0.8928 0.0025
Tm 0.3492 0.4264 0.1040
Tm 0.5736 0.8960 0.6508
Tm 0.8960 0.6508 0.5736
Sc 0.0000 0.0000 0.0000
Tm 0.1040 0.3492 0.4264
Er 0.0025 0.3547 0.8928
Tm 0.6508 0.5736 0.8960
Tm 0.3543 0.2319 0.7569
Tm 0.2431 0.6457 0.7681
Tm 0.2319 0.7569 0.3543
Er 0.1072 0.9975 0.6453
Tm 0.7569 0.3543 0.2319
Tm 0.6457 0.7681 0.2431
Er 0.8928 0.0025 0.3547
Tm 0.7681 0.2431 0.6457
Er 0.5000 0.5000 0.5000

***

Entry 16:
ScCuSb2 after structural relaxation, computed with PBE.

Output
DFT total energy = -4.93 eV/atom
Fermi-level density of states = 0.194 states/eV/atom
Raw formation energy = -257 meV/atom
Total magnetic moment = 0.000 μB per cell
Space group = I-42d (122)

Unit cell a=7.5911 b=7.5911 c=6.2093 alpha=52.32 beta=52.32 gamma=90.00
Fractional positions:
Sc 0.5000 0.5000 0.0000
Sb 0.3750 0.3331 0.7500
Sb 0.6669 0.1250 0.2500
Cu 0.7500 0.2500 0.5000
Sc 0.2500 0.7500 0.5000
Sb 0.8750 0.9169 0.7500
Sb 0.0831 0.6250 0.2500
Cu 0.0000 0.0000 0.0000

***

Entry 17:
LaZrCo2 after structural relaxation, computed with PBE.

Output
DFT total energy = -6.96 eV/atom
Fermi-level density of states = 1.172 states/eV/atom
Offset from the most stable computed form = 6.9 kJ/mol of atoms
DFT formation energy = -0.04 eV per atom
Total magnetic moment = 0.000 μB per cell
Space group = R-3m (166)

Unit cell a=4.2656 b=4.2656 c=5.6936 alpha=67.95 beta=67.95 gamma=60.01
Fractional positions:
Co 0.0389 0.0389 0.8831
Zr 0.7500 0.7500 0.7500
La 0.2500 0.2500 0.2500
Co 0.4611 0.4611 0.6169

***

Entry 18:
Ba2Al7Au after structural relaxation, computed with PBE.

Output
DFT total energy = -3.66 eV/atom
Fermi-level density of states = 0.255 states/eV/atom
DFT formation energy = -0.32 eV per atom
Total magnetic moment = 0.000 μB per cell
Space group = P-4m2 (115)

Unit cell a=4.5277 b=4.5277 c=11.4413 alpha=90.00 beta=90.00 gamma=90.00
Fractional positions:
Al 0.0000 0.5000 0.8733
Al 0.0000 0.0000 0.5000
Au 0.5000 0.5000 0.0000
Ba 0.5000 0.0000 0.7483
Al 0.5000 0.0000 0.1267
Al 0.5000 0.5000 0.5000
Al 0.0000 0.5000 0.6336
Al 0.5000 0.0000 0.3664
Al 0.0000 0.0000 0.0000
Ba 0.0000 0.5000 0.2517

***

Entry 19:
HoTmFeNi after structural relaxation, computed with PBE.

Output
DFT total energy = -5.95 eV/atom
Fermi-level density of states = 0.574 states/eV/atom
DFT formation energy = -0.13 eV per atom
Total magnetic moment = 0.001 μB per cell
Space group = F-43m (216)

Unit cell a=4.6827 b=4.6827 c=4.6827 alpha=60.00 beta=60.00 gamma=60.00
Fractional positions:
Tm 0.5000 0.5000 0.5000
Fe 0.7500 0.7500 0.7500
Ni 0.2500 0.2500 0.2500
Ho 0.0000 0.0000 0.0000

***

Entry 20:
Ac2YIn after structural relaxation, computed with PBE.

Output
DFT total energy = -4.20 eV/atom
Fermi-level density of states = 1.111 states/eV/atom
Offset from the most stable computed form = 33.2 kJ/mol of atoms
DFT formation energy = 0.16 eV per atom
Total magnetic moment = 0.000 μB per cell
Space group = R-3m (166)

Unit cell a=3.7811 b=3.7811 c=13.0979 alpha=81.70 beta=81.70 gamma=60.00
Fractional positions:
Ac 0.0891 0.0891 0.7328
Y 0.5000 0.5000 0.5000
Ac 0.9109 0.9109 0.2672
In 0.0000 0.0000 0.0000